BeCrPt2 GGA-PBE optimized geometry; density = 13801 kg/m³; crystal system = orthorhombic; E = -6.66 eV per atom; ΔE_f = -0.3057 eV per atom; spin magnetization = 3.4 μB/cell; SG = Pmm2
1.0
4.3601 0.0000 0.0000
0.0000 2.8549 -0.0022
0.0000 0.0034 4.3610
Be Cr Pt
1 1 2
direct
0.0000 0.6251 0.3770
0.5000 0.6250 0.8719
0.5000 0.1250 0.3726
0.0000 0.1249 0.8785

BeCrPt GGA-PBE optimized geometry; density = 11863 kg/m³; excess energy over the best structure of this formula in the dataset = 148 meV/atom; crystal system = triclinic; E = -6.69 eV per atom; ΔE_f = -0.2231 eV per atom; spin magnetization = 1.5 μB/cell; SG = P1
1.0
-2.0737 1.0837 -4.1200
-1.9596 -3.3042 -2.3622
-3.9496 2.3025 0.0566
Cr Be Pt
2 2 2
direct
0.9791 0.2267 0.3673
0.9789 0.2271 0.8352
0.5978 0.0201 0.7924
0.3635 0.6482 0.9084
0.2806 0.5700 0.4500
0.7047 0.8571 0.2389

BeCrPt GGA-PBE optimized geometry; density = 11558 kg/m³; excess energy over the best structure of this formula in the dataset = 180 meV/atom; crystal system = triclinic; E = -6.65 eV per atom; ΔE_f = -0.1908 eV per atom; spin magnetization = 0.0 μB/cell; SG = P1
1.0
-2.0356 -1.7929 0.4164
-1.4294 -4.1059 -10.5636
0.5174 -2.7817 0.2465
Be Pt Cr
2 2 2
direct
0.5838 0.0023 0.9465
0.6863 0.6830 0.2167
0.9556 0.8436 0.4205
0.0654 0.5252 0.6840
0.7778 0.3248 0.5275
0.8357 0.1703 0.1523

BeCrPt GGA-PBE optimized geometry; density = 11668 kg/m³; excess energy over the best structure of this formula in the dataset = 148 meV/atom; crystal system = triclinic; E = -6.69 eV per atom; ΔE_f = -0.2228 eV per atom; spin magnetization = 0.0 μB/cell; SG = P-1
1.0
4.0131 0.0785 0.0062
0.8878 4.4194 -0.1496
-2.1465 0.5165 4.1038
Be Pt Cr
2 2 2
direct
0.6612 0.5101 0.1884
0.3071 0.8384 0.2954
0.6472 0.0216 0.0459
0.3210 0.3270 0.4376
0.9543 0.4807 0.8109
0.0138 0.8680 0.6726

BeCrPt2 GGA-PBE optimized geometry; density = 13794 kg/m³; crystal system = tetragonal; E = -6.62 eV per atom; ΔE_f = -0.2598 eV per atom; spin magnetization = 2.8 μB/cell; SG = I-4m2
1.0
-2.5478 3.9563 -0.7233
-3.6544 0.4780 3.0139
4.6423 -0.9206 0.5178
Pt Be Cr
2 1 1
direct
0.0000 0.0000 0.0000
0.2500 0.7500 0.5000
0.5000 0.5000 0.0000
0.7500 0.2500 0.5000

BeCrPt2 GGA-PBE optimized geometry; density = 13958 kg/m³; crystal system = cubic; E = -6.35 eV per atom; ΔE_f = 0.0035 eV per atom; spin magnetization = 0.0 μB/cell; SG = F-43m
1.0
4.2341 0.0000 0.0000
2.1171 3.6669 0.0000
2.1171 1.2223 3.4572
Cr Pt Be
1 2 1
direct
0.7500 0.7500 0.7500
0.2500 0.2500 0.2500
0.0000 0.0000 0.0000
0.5000 0.5000 0.5000

BeCrPt GGA-PBE optimized geometry; density = 11629 kg/m³; excess energy over the best structure of this formula in the dataset = 19 meV/atom; crystal system = orthorhombic; E = -6.82 eV per atom; ΔE_f = -0.3527 eV per atom; spin magnetization = 0.0 μB/cell; SG = Fmmm
1.0
4.3701 -0.0548 0.0000
2.1065 3.8294 -0.0003
-1.1329 1.9441 4.3402
Pt Cr Be
2 2 2
direct
0.6367 0.0218 0.0473
0.3315 0.3269 0.4363
0.8240 0.5142 0.7418
0.1442 0.8345 0.7418
0.2341 0.9242 0.2418
0.7343 0.4245 0.2418

BeCrPt GGA-PBE optimized geometry; density = 11851 kg/m³; excess energy over the best structure of this formula in the dataset = 56 meV/atom; crystal system = orthorhombic; E = -6.78 eV per atom; ΔE_f = -0.3150 eV per atom; spin magnetization = 0.0 μB/cell; SG = Pnma
1.0
5.5038 0.0000 0.0000
0.0000 2.9514 0.0000
0.0000 0.0000 8.8361
Pt Be Cr
4 4 4
direct
0.6030 0.7500 0.6206
0.3970 0.2500 0.3794
0.8970 0.2500 0.1206
0.1030 0.7500 0.8794
0.8655 0.2500 0.7355
0.6345 0.7500 0.2355
0.1345 0.7500 0.2645
0.3655 0.2500 0.7645
0.6112 0.7500 0.9374
0.8888 0.2500 0.4374
0.3888 0.2500 0.0626
0.1112 0.7500 0.5626

Be4CrPt GGA-PBE optimized geometry; density = 7872 kg/m³; crystal system = cubic; E = -5.45 eV per atom; ΔE_f = -0.3574 eV per atom; spin magnetization = 3.6 μB/cell; SG = F-43m
1.0
0.0000 3.1025 3.1025
3.1025 0.0000 3.1025
3.1025 3.1025 0.0000
Cr Be Pt
1 4 1
direct
0.7500 0.7500 0.7500
0.3753 0.3753 0.8741
0.3753 0.3753 0.3753
0.8741 0.3753 0.3753
0.3753 0.8741 0.3753
0.0000 0.0000 0.0000

Be3CrPt GGA-PBE optimized geometry; density = 6434 kg/m³; excess energy over the best structure of this formula in the dataset = 0 meV/atom; crystal system = cubic; E = -4.69 eV per atom; ΔE_f = 0.6821 eV per atom; spin magnetization = 0.1 μB/cell; SG = Pm-3m
1.0
4.1358 0.0000 0.0000
0.0000 4.1358 0.0000
0.0000 0.0000 4.1358
Pt Be Cr
1 3 1
direct
0.0000 0.0000 0.0000
0.0000 0.0000 0.5000
0.5000 0.0000 0.0000
0.0000 0.5000 0.0000
0.5000 0.5000 0.5000

BeCrPt2 GGA-PBE optimized geometry; density = 14183 kg/m³; crystal system = trigonal; E = -6.57 eV per atom; ΔE_f = -0.2166 eV per atom; spin magnetization = 1.8 μB/cell; SG = R-3m
1.0
8.2462 0.0210 0.0124
7.7823 2.7269 0.0124
7.7823 1.3342 2.3783
Pt Cr Be
2 1 1
direct
0.5068 0.5068 0.5068
0.9932 0.9932 0.9932
0.7500 0.7500 0.7500
0.2500 0.2500 0.2500

Be3CrPt GGA-PBE optimized geometry; density = 7487 kg/m³; excess energy over the best structure of this formula in the dataset = 401 meV/atom; crystal system = cubic; E = -4.29 eV per atom; ΔE_f = 1.0829 eV per atom; spin magnetization = 0.0 μB/cell; SG = Pm-3m
1.0
3.9322 0.0000 0.0000
0.0000 3.9322 0.0000
0.0000 0.0000 3.9322
Pt Be Cr
1 3 1
direct
0.5000 0.5000 0.5000
0.0000 0.0000 0.5000
0.0000 0.5000 0.0000
0.5000 0.0000 0.0000
0.0000 0.0000 0.0000